## P
# CrTcAg (PBE, relaxed)
# volume: 14.560 A^3/atom
data_CrTcAg
_cell_length_a 2.589
_cell_length_b 4.107
_cell_length_c 8.215
_cell_angle_alpha 90.00
_cell_angle_beta 90.00
_cell_angle_gamma 90.00
_symmetry_space_group_name_H-M 'I m m 2'
_symmetry_Int_Tables_number 44
_symmetry_space_group_name_Hall 'I 2 -2'
loop_
_atom_site_label
_atom_site_type_symbol
_atom_site_fract_x
_atom_site_fract_y
_atom_site_fract_z
Cr1 Cr 0.000 0.000 0.000
Tc1 Tc 0.000 0.000 0.662
Ag1 Ag 0.000 0.000 0.332

=====

## Q
# CrTcAg (PBE, relaxed)
# volume: 15.095 A^3/atom
data_CrTcAg
_cell_length_a 3.006
_cell_length_b 4.469
_cell_length_c 13.484
_cell_angle_alpha 90.00
_cell_angle_beta 90.00
_cell_angle_gamma 90.00
_symmetry_space_group_name_H-M 'F m m 2'
_symmetry_Int_Tables_number 42
_symmetry_space_group_name_Hall 'F 2 -2'
loop_
_atom_site_label
_atom_site_type_symbol
_atom_site_fract_x
_atom_site_fract_y
_atom_site_fract_z
Cr1 Cr 0.000 0.000 0.000
Tc1 Tc 0.000 0.000 0.637
Ag1 Ag 0.000 0.000 0.324

=====

## R
# CrTcAg (PBE, relaxed)
# volume: 15.341 A^3/atom
data_CrTcAg
_cell_length_a 2.932
_cell_length_b 2.932
_cell_length_c 10.705
_cell_angle_alpha 90.00
_cell_angle_beta 90.00
_cell_angle_gamma 90.00
_symmetry_space_group_name_H-M 'I 4 m m'
_symmetry_Int_Tables_number 107
_symmetry_space_group_name_Hall 'I 4 -2'
loop_
_atom_site_label
_atom_site_type_symbol
_atom_site_fract_x
_atom_site_fract_y
_atom_site_fract_z
Cr1 Cr 0.000 0.000 0.000
Tc1 Tc 0.000 0.000 0.620
Ag1 Ag 0.000 0.000 0.317

=====

Which of them is the most stable? Correct choice: R.

=====

## P
# CrTcAg (PBE, relaxed)
# volume: 17.194 A^3/atom
data_CrTcAg
_cell_length_a 5.909
_cell_length_b 5.909
_cell_length_c 5.909
_cell_angle_alpha 90.00
_cell_angle_beta 90.00
_cell_angle_gamma 90.00
_symmetry_space_group_name_H-M 'F -4 3 m'
_symmetry_Int_Tables_number 216
_symmetry_space_group_name_Hall 'F -4 2 3'
loop_
_atom_site_label
_atom_site_type_symbol
_atom_site_fract_x
_atom_site_fract_y
_atom_site_fract_z
Cr1 Cr 0.000 0.000 0.000
Tc1 Tc 0.250 0.250 0.250
Ag1 Ag 0.250 0.250 0.750

=====

## Q
# CrTcAg (PBE, relaxed)
# volume: 15.266 A^3/atom
data_CrTcAg
_cell_length_a 2.8067
_cell_length_b 2.8067
_cell_length_c 6.7133
_cell_angle_alpha 90.00
_cell_angle_beta 90.00
_cell_angle_gamma 120.00
_symmetry_space_group_name_H-M 'P 3 m 1'
_symmetry_Int_Tables_number 156
_symmetry_space_group_name_Hall 'P 3 -2"'
loop_
_atom_site_label
_atom_site_type_symbol
_atom_site_fract_x
_atom_site_fract_y
_atom_site_fract_z
Cr1 Cr 0.0000 0.0000 0.0000
Tc1 Tc 0.6667 0.3333 0.2728
Ag1 Ag 0.3333 0.6667 0.6481

=====

Which of them is the most stable? Correct choice: Q.

=====

## P
# CrAgTe3 (PBE, relaxed)
# volume: 26.608 A^3/atom
data_CrAgTe3
_cell_length_a 5.105
_cell_length_b 5.105
_cell_length_c 5.105
_cell_angle_alpha 90.00
_cell_angle_beta 90.00
_cell_angle_gamma 90.00
_symmetry_space_group_name_H-M 'P m -3 m'
_symmetry_Int_Tables_number 221
_symmetry_space_group_name_Hall '-P 4 2 3'
loop_
_atom_site_label
_atom_site_type_symbol
_atom_site_fract_x
_atom_site_fract_y
_atom_site_fract_z
Cr1 Cr 0.000 0.000 0.000
Ag1 Ag 0.500 0.500 0.500
Te1 Te 0.000 0.000 0.500

=====

## Q
# CrAgTe3 (PBE, relaxed)
# volume: 28.329 A^3/atom
data_CrAgTe3
_cell_length_a 13.985
_cell_length_b 11.926
_cell_length_c 6.951
_cell_angle_alpha 90.00
_cell_angle_beta 102.23
_cell_angle_gamma 90.00
_symmetry_space_group_name_H-M 'C 1 2/c 1'
_symmetry_Int_Tables_number 15
_symmetry_space_group_name_Hall '-C 2yc'
loop_
_atom_site_label
_atom_site_type_symbol
_atom_site_fract_x
_atom_site_fract_y
_atom_site_fract_z
Cr1 Cr 0.000 0.086 0.250
Cr2 Cr 0.000 0.249 0.750
Ag1 Ag 0.192 0.412 0.304
Te1 Te 0.080 0.419 0.588
Te2 Te 0.108 0.086 0.624
Te3 Te 0.123 0.215 0.105

=====

Which of them is the most stable? Correct choice: Q.

=====

## P
# Cr2AgTe2 (PBE, relaxed)
# volume: 20.676 A^3/atom
data_Cr2AgTe2
_cell_length_a 3.541
_cell_length_b 3.541
_cell_length_c 16.486
_cell_angle_alpha 90.00
_cell_angle_beta 90.00
_cell_angle_gamma 90.00
_symmetry_space_group_name_H-M 'I 4/m m m'
_symmetry_Int_Tables_number 139
_symmetry_space_group_name_Hall '-I 4 2'
loop_
_atom_site_label
_atom_site_type_symbol
_atom_site_fract_x
_atom_site_fract_y
_atom_site_fract_z
Cr1 Cr 0.000 0.500 0.250
Ag1 Ag 0.000 0.000 0.000
Te1 Te 0.000 0.000 0.370

=====

## Q
# Cr2AgTe2 (PBE, relaxed)
# volume: 22.422 A^3/atom
data_Cr2AgTe2
_cell_length_a 7.827
_cell_length_b 7.827
_cell_length_c 3.660
_cell_angle_alpha 90.00
_cell_angle_beta 90.00
_cell_angle_gamma 90.00
_symmetry_space_group_name_H-M 'P 4/m b m'
_symmetry_Int_Tables_number 127
_symmetry_space_group_name_Hall '-P 4 2ab'
loop_
_atom_site_label
_atom_site_type_symbol
_atom_site_fract_x
_atom_site_fract_y
_atom_site_fract_z
Cr1 Cr 0.140 0.360 0.000
Ag1 Ag 0.000 0.000 0.500
Te1 Te 0.163 0.663 0.500

=====

Which of them is the most stable? Correct choice: P.